No. 1
CdSF, optimized geometry, DFT GGA-PBE; ΔE_f (raw) = -1.040 eV per atom; energy above the lowest structure with this stoichiometry = 0.106 eV/atom
1.0
4.2494 0.0000 0.0000
-2.0978 3.9198 0.0000
-0.0419 -0.5308 7.0816
Cd S F
2 2 2
direct
0.0000 0.0000 0.0000 Cd
0.3235 0.6505 0.4321 Cd
0.4905 0.9837 0.7921 S
0.9941 0.9961 0.3537 S
0.2839 0.5836 0.0162 F
0.6800 0.3593 0.6805 F

=====

No. 2
CdS6F2, optimized geometry, DFT GGA-PBE; ΔE_f (raw) = -0.564 eV per atom
1.0
4.6043 -5.6085 0.0000
4.6043 5.6085 0.0000
-0.1419 0.0000 3.7370
Cd S F
1 6 2
direct
0.0000 0.0000 0.0000 Cd
0.2517 0.5456 0.1061 S
0.3000 0.3000 0.8514 S
0.4544 0.7483 0.8939 S
0.5456 0.2517 0.1061 S
0.7000 0.7000 0.1486 S
0.7483 0.4544 0.8939 S
0.1193 0.8807 0.5000 F
0.8807 0.1193 0.5000 F

=====

No. 3
CdSF6, optimized geometry, DFT GGA-PBE; ΔE_f (raw) = -1.614 eV per atom
1.0
2.6872 -4.2446 0.0000
2.6872 4.2446 0.0000
-1.1133 0.0000 5.0132
Cd S F
1 1 6
direct
0.0000 0.0000 0.0000 Cd
0.5000 0.5000 0.5000 S
0.1609 0.4597 0.2671 F
0.2514 0.2514 0.6968 F
0.4597 0.1609 0.2671 F
0.5403 0.8391 0.7329 F
0.7486 0.7486 0.3032 F
0.8391 0.5403 0.7329 F

=====

No. 4
Cd2SF2, optimized geometry, DFT GGA-PBE; ΔE_f (raw) = -1.378 eV per atom; energy above the lowest structure with this stoichiometry = 0.059 eV/atom
1.0
2.8294 -2.5161 0.0000
2.8294 2.5161 0.0000
-1.3999 0.0000 5.8622
Cd S F
2 1 2
direct
0.1905 0.1905 0.2607 Cd
0.8095 0.8095 0.7393 Cd
0.5000 0.5000 0.0000 S
0.2443 0.7557 0.5000 F
0.7557 0.2443 0.5000 F

=====

No. 5
CdSF, optimized geometry, DFT GGA-PBE; ΔE_f (raw) = -1.001 eV per atom; energy above the lowest structure with this stoichiometry = 0.145 eV/atom
1.0
3.9677 0.0000 0.0000
-0.9242 4.1202 0.0000
-0.4837 -2.0055 7.1127
Cd S F
2 2 2
direct
0.0000 0.0000 0.0000 Cd
0.4751 0.3658 0.6247 Cd
0.3793 0.5708 0.9659 S
0.9557 0.3233 0.3758 S
0.0700 0.7214 0.3620 F
0.7375 0.9552 0.6856 F

=====

No. 6
CdSF3, optimized geometry, DFT GGA-PBE; ΔE_f (raw) = -0.964 eV per atom; energy above the lowest structure with this stoichiometry = 0.000 eV/atom
1.0
4.4447 0.0000 0.0000
0.0000 4.4447 0.0000
0.0000 0.0000 4.4447
Cd S F
1 1 3
direct
0.0000 0.0000 0.0000 Cd
0.5000 0.5000 0.5000 S
0.0000 0.0000 0.5000 F
0.0000 0.5000 0.0000 F
0.5000 0.0000 0.0000 F

=====

No. 7
CdSF, optimized geometry, DFT GGA-PBE; ΔE_f (raw) = -0.996 eV per atom; energy above the lowest structure with this stoichiometry = 0.150 eV/atom
1.0
4.0698 0.0000 0.0000
1.8391 3.6710 0.0000
1.4597 1.5017 8.2642
Cd S F
2 2 2
direct
0.0000 0.0000 0.0000 Cd
0.2716 0.1764 0.4111 Cd
0.1714 0.2779 0.7139 S
0.9458 0.8801 0.3061 S
0.6608 0.6665 0.0083 F
0.7787 0.6610 0.6802 F

=====

No. 8
Cd3SF3, optimized geometry, DFT GGA-PBE; ΔE_f (raw) = -1.438 eV per atom
1.0
3.3959 1.9606 6.2186
-3.3959 1.9606 6.2186
0.0000 -3.9213 6.2186
Cd S F
6 2 6
direct
0.0750 0.4139 0.7518 Cd
0.2482 0.9250 0.5861 Cd
0.4139 0.7518 0.0750 Cd
0.5861 0.2482 0.9250 Cd
0.7518 0.0750 0.4139 Cd
0.9250 0.5861 0.2482 Cd
0.3312 0.3312 0.3312 S
0.6688 0.6688 0.6688 S
0.1366 0.8083 0.4313 F
0.1917 0.5687 0.8634 F
0.4313 0.1366 0.8083 F
0.5687 0.8634 0.1917 F
0.8083 0.4313 0.1366 F
0.8634 0.1917 0.5687 F